[1]
Compound: CaHf2Rh
Source: the Alexandria database
Functional: PBE-GGA
Structure: optimized geometry

It has space group Fm-3m (No. 225), with a = 6.863 Å, b = 6.863 Å, c = 6.863 Å, α = 90.00°, β = 90.00° and γ = 90.00°. The distinct sites, in fractional coordinates, are Ca at (0.000, 0.000, 0.000), Hf at (0.250, 0.250, 0.250) and Rh at (0.000, 0.000, 0.500).

Its polymorph energy (0 for the lowest one) is 85 meV per atom. The spin magnetization is 0.00 μB per atom. The formation energy comes out at 0.10 eV per atom.


[2]
Compound: CaHfRh
Source: the Alexandria database
Functional: PBE-GGA
Structure: optimized geometry

It has space group P4/nmm (No. 129, origin choice 2), with a = 4.514 Å, b = 4.514 Å, c = 7.258 Å, α = 90.00°, β = 90.00° and γ = 90.00°. The distinct sites, in fractional coordinates, are Ca at (0.250, 0.250, 0.135), Hf at (0.250, 0.750, 0.500) and Rh at (0.250, 0.250, 0.692).

The spin magnetization is 0.00 μB per atom. The formation energy comes out at -0.55 eV per atom.


- What is the formula in the second record?
  CaHfRh


- Number 2 is which compound?
  CaHfRh


Please write out number 1 again, unchanged.
Compound: CaHf2Rh
Source: the Alexandria database
Functional: PBE-GGA
Structure: optimized geometry

It has space group Fm-3m (No. 225), with a = 6.863 Å, b = 6.863 Å, c = 6.863 Å, α = 90.00°, β = 90.00° and γ = 90.00°. The distinct sites, in fractional coordinates, are Ca at (0.000, 0.000, 0.000), Hf at (0.250, 0.250, 0.250) and Rh at (0.000, 0.000, 0.500).

Its polymorph energy (0 for the lowest one) is 85 meV per atom. The spin magnetization is 0.00 μB per atom. The formation energy comes out at 0.10 eV per atom.


What did the second record say?
Compound: CaHfRh
Source: the Alexandria database
Functional: PBE-GGA
Structure: optimized geometry

It has space group P4/nmm (No. 129, origin choice 2), with a = 4.514 Å, b = 4.514 Å, c = 7.258 Å, α = 90.00°, β = 90.00° and γ = 90.00°. The distinct sites, in fractional coordinates, are Ca at (0.250, 0.250, 0.135), Hf at (0.250, 0.750, 0.500) and Rh at (0.250, 0.250, 0.692).

The spin magnetization is 0.00 μB per atom. The formation energy comes out at -0.55 eV per atom.